A relaxed Cs6YSe4 crystal, computed with PBE-GGA.

```
Cs6YSe4
1.0
11.696 0.000 0.000
-5.848 10.129 0.000
0.000 0.000 8.805
Cs Y Se
12 2 8
Cartesian
-2.345 5.399 0.000 Cs
0.000 2.704 2.751 Cs
-3.506 8.777 2.751 Cs
2.342 1.352 7.154 Cs
2.345 5.399 0.000 Cs
0.000 9.460 0.000 Cs
5.848 0.669 4.403 Cs
3.503 4.730 4.403 Cs
3.506 8.777 2.751 Cs
9.354 1.352 7.154 Cs
5.848 7.425 7.154 Cs
8.193 4.730 4.403 Cs
0.000 6.753 5.264 Y
5.848 3.376 0.862 Y
0.000 4.163 6.181 Se
-2.243 8.048 6.181 Se
0.000 6.753 2.520 Se
3.605 2.081 1.778 Se
2.243 8.048 6.181 Se
5.848 3.376 6.922 Se
8.091 2.081 1.778 Se
5.848 5.966 1.778 Se
```

## Properties
The value obtained for the total magnetization is 0.71 μB per cell. The formation energy without anion corrections comes out at -13.5 eV per formula unit. As for the total energy: -3.55 eV per atom. The calculation puts the density of states at the Fermi level at 3.4 states/eV per cell.